Here is NdYF after structural relaxation from Alexandria via LeMat-Bulk. Energies are from GGA-PBE.

Lattice parameters (Å, degrees): 3.794 3.794 5.725 90.00 90.00 120.00
Positions (direct):
Y  0.000  0.000  0.911
Nd  0.667  0.333  0.409
F  0.333  0.667  0.680

Properties
calculated volume = 23.79 Å³/atom
total magnetization = 0.000 μB/f.u.

---

Here is Nd2YF11 after structural relaxation from Alexandria via LeMat-Bulk. Energies are from GGA-PBE.

Lattice parameters (Å, degrees): 8.696 8.861 8.861 72.39 60.62 60.62
Site moments in Bohr magnetons follow the coordinates.
Positions (direct):
Nd  0.664  0.691  0.309  -0.01
Nd  0.336  0.309  0.691  -0.01
Nd  0.836  0.191  0.809  -0.01
Nd  0.164  0.809  0.191  -0.01
Y  0.750  0.750  0.750  -0.01
Y  0.250  0.250  0.250  -0.01
F  0.669  0.707  0.561  0.13
F  0.331  0.293  0.439  0.13
F  0.062  0.561  0.707  0.13
F  0.831  0.939  0.793  0.13
F  0.938  0.439  0.293  0.13
F  0.169  0.061  0.207  0.13
F  0.438  0.793  0.939  0.13
F  0.562  0.207  0.061  0.13
F  0.500  0.500  0.500  0.44
F  0.000  0.000  0.000  0.44
F  0.894  0.812  0.188  0.24
F  0.106  0.188  0.812  0.24
F  0.606  0.312  0.688  0.24
F  0.394  0.688  0.312  0.24
F  0.452  0.979  0.316  0.13
F  0.548  0.021  0.684  0.13
F  0.253  0.316  0.979  0.13
F  0.048  0.184  0.521  0.13
F  0.747  0.684  0.021  0.13
F  0.952  0.816  0.479  0.13
F  0.247  0.521  0.184  0.13
F  0.753  0.479  0.816  0.13

Properties
calculated volume = 18.45 Å³/atom
total magnetization = 2.113 μB/f.u.

---

Here is NdYF6 after structural relaxation from Alexandria via LeMat-Bulk. Energies are from GGA-PBE.

Lattice parameters (Å, degrees): 6.104 4.490 4.490 68.97 94.77 85.23
Positions (direct):
Nd  0.500  0.108  0.108
Y  0.000  0.791  0.791
F  0.872  0.828  0.271
F  0.128  0.271  0.828
F  0.274  0.936  0.500
F  0.331  0.612  0.121
F  0.669  0.121  0.612
F  0.726  0.500  0.936

Properties
calculated volume = 14.20 Å³/atom
total magnetization = 0.000 μB/f.u.

---

Result set for formation energy from raw total energies: -1542.9; -3400.4; -4051.1 meV/atom, one per record in the order listed.